Entry 1:
DFT (PBE) results for an optimized crystal structure of Sm12RuAu6.

Structure (POSCAR):
```
Sm12RuAu6
1.0
6.407 3.699 4.145
-6.407 3.699 4.145
0.000 -7.399 4.145
Sm Ru Au
12 1 6
direct
0.030 0.682 0.936
0.064 0.970 0.318
0.185 0.426 0.576
0.318 0.064 0.970
0.424 0.815 0.574
0.426 0.576 0.185
0.574 0.424 0.815
0.576 0.185 0.426
0.682 0.936 0.030
0.815 0.574 0.424
0.936 0.030 0.682
0.970 0.318 0.064
0.000 0.000 0.000
0.130 0.629 0.307
0.307 0.130 0.629
0.371 0.693 0.870
0.629 0.307 0.130
0.693 0.870 0.371
0.870 0.371 0.693
```

Summary:
* spin magnetization: 0.00 μB/atom
* volume: 31.0 Å³/atom
* formation enthalpy at 0 K: -0.43 eV per atom

Entry 2:
DFT (PBE) results for an optimized crystal structure of Sm5Ru4Au.

Structure (POSCAR):
```
Sm5Ru4Au
1.0
3.485 0.000 0.000
0.000 3.485 0.000
0.000 0.000 17.844
Sm Ru Au
5 4 1
direct
0.000 0.000 0.000
0.000 0.000 0.192
0.000 0.000 0.387
0.000 0.000 0.613
0.000 0.000 0.808
0.500 0.500 0.097
0.500 0.500 0.295
0.500 0.500 0.705
0.500 0.500 0.903
0.500 0.500 0.500
```

Summary:
* spin magnetization: 0.00 μB/atom
* volume: 21.7 Å³/atom
* formation enthalpy at 0 K: -0.32 eV per atom